Entry 1:
La2CuTeO at its PBEsol-relaxed geometry, computed with meta-GGA SCAN.

Unit cell a=4.832 b=4.832 c=5.028 alpha=90.00 beta=90.00 gamma=90.00
Fractional coordinates of all 5 atoms:
Te (0.000, 0.000, 0.500)
O (0.000, 0.000, 0.000)
Cu (0.500, 0.500, 0.500)
La (0.000, 0.500, 0.000)
La (0.500, 0.000, 0.000)

Total magnetization = 0.00 μB/f.u.
Formation energy from raw total energies = -1.08 eV per atom
Space group = P4/mmm, No. 123
Total DFT energy (no corrections) = -30.0613 eV per atom

***

Entry 2:
Mg5Cu at its PBEsol-relaxed geometry, computed with meta-GGA SCAN.

Unit cell a=4.198 b=4.399 c=6.707 alpha=90.00 beta=108.24 gamma=90.00
Fractional coordinates of all 6 atoms:
Mg (0.340, 0.500, 0.679)
Mg (0.154, 0.000, 0.308)
Mg (0.000, 0.500, 0.000)
Mg (0.846, 0.000, 0.692)
Mg (0.660, 0.500, 0.321)
Cu (0.500, 0.000, 0.000)

Total magnetization = 0.10 μB/f.u.
Space group = Cmmm, No. 65
Total DFT energy (no corrections) = -6.6567 eV per atom

***

- Among the records above, which one has the lowest total magnetization?
  La2CuTeO

***

What did the first record say?
La2CuTeO at its PBEsol-relaxed geometry, computed with meta-GGA SCAN.

Unit cell a=4.832 b=4.832 c=5.028 alpha=90.00 beta=90.00 gamma=90.00
Fractional coordinates of all 5 atoms:
Te (0.000, 0.000, 0.500)
O (0.000, 0.000, 0.000)
Cu (0.500, 0.500, 0.500)
La (0.000, 0.500, 0.000)
La (0.500, 0.000, 0.000)

Total magnetization = 0.00 μB/f.u.
Formation energy from raw total energies = -1.08 eV per atom
Space group = P4/mmm, No. 123
Total DFT energy (no corrections) = -30.0613 eV per atom

***

- Which formula does entry 1 have?
  La2CuTeO

***

- The highest total DFT energy (no corrections) belongs to which entry?
  Mg5Cu